No. 1
# Pr12In6Sn

Crystalline Pr12In6Sn at its relaxed geometry (PBE, the Alexandria database).

Properties
The space-group type is No. 148. The calculation puts the formation energy from the elements at -0.204 eV per atom. The calculation puts the total DFT energy (no corrections) at -4.298 eV per atom. For the density of states at the Fermi level, the calculation gives 19.84 states/eV/cell. As for the volume: 617.2 Å³ per cell.

Cell lengths 9.085, 9.085, 9.085 Å; angles 107.41, 107.41, 107.41 degrees
Fractional positions:
Pr  0.651  0.962  0.118
Pr  0.882  0.349  0.038
Pr  0.309  0.390  0.062
Pr  0.610  0.938  0.691
Pr  0.962  0.118  0.651
In  0.358  0.259  0.663
Pr  0.118  0.651  0.962
Pr  0.390  0.062  0.309
In  0.663  0.358  0.259
Sn  0.000  0.000  0.000
In  0.259  0.663  0.358
Pr  0.038  0.882  0.349
Pr  0.938  0.691  0.610
Pr  0.062  0.309  0.390
Pr  0.349  0.038  0.882
In  0.337  0.642  0.741
Pr  0.691  0.610  0.938
In  0.642  0.741  0.337
In  0.741  0.337  0.642

No. 2
# PrInSn4

Crystalline PrInSn4 at its relaxed geometry (PBE, the Alexandria database).

Properties
The space-group type is No. 216. The calculation puts the formation energy from the elements at -0.215 eV per atom. The calculation puts the total DFT energy (no corrections) at -4.137 eV per atom. The energy relative to the lowest polymorph listed for this composition is 8.8 meV per atom. For the density of states at the Fermi level, the calculation gives 3.54 states/eV/cell. As for the volume: 171.0 Å³ per cell.

Cell lengths 6.230, 6.230, 6.230 Å; angles 60.00, 60.00, 60.00 degrees
Fractional positions:
Sn  0.625  0.625  0.125
In  0.000  0.000  0.000
Sn  0.125  0.625  0.625
Pr  0.250  0.250  0.250
Sn  0.625  0.625  0.625
Sn  0.625  0.125  0.625

No. 3
# Pr3InSn3

Crystalline Pr3InSn3 at its relaxed geometry (PBE, the Alexandria database).

Properties
The space-group type is No. 12. The calculation puts the formation energy from the elements at -0.677 eV per atom. The calculation puts the total DFT energy (no corrections) at -4.832 eV per atom. The energy relative to the lowest polymorph listed for this composition is 0.0 meV per atom. For the density of states at the Fermi level, the calculation gives 10.16 states/eV/cell. As for the volume: 415.9 Å³ per cell.

Cell lengths 4.660, 6.443, 15.110 Å; angles 81.54, 81.13, 68.80 degrees
Fractional positions:
Sn  0.118  0.839  0.925
Pr  0.488  0.648  0.376
Sn  0.867  0.724  0.541
Sn  0.133  0.276  0.459
Sn  0.882  0.161  0.075
In  0.225  0.925  0.625
Pr  0.392  0.291  0.924
Pr  0.729  0.768  0.775
In  0.775  0.075  0.375
Sn  0.999  0.224  0.778
Sn  0.001  0.776  0.222
Pr  0.271  0.232  0.225
Pr  0.608  0.709  0.076
Pr  0.512  0.352  0.624

No. 4
# PrIn3Sn

Crystalline PrIn3Sn at its relaxed geometry (PBE, the Alexandria database).

Properties
The space-group type is No. 119. The calculation puts the formation energy from the elements at 0.018 eV per atom. The calculation puts the total DFT energy (no corrections) at -3.382 eV per atom. The energy relative to the lowest polymorph listed for this composition is 214.9 meV per atom. For the density of states at the Fermi level, the calculation gives 6.84 states/eV/cell. As for the volume: 379.4 Å³ per cell.

Cell lengths 6.109, 6.109, 11.044 Å; angles 106.06, 106.06, 90.00 degrees
Fractional positions:
In  0.626  0.870  0.740
In  0.130  0.374  0.260
Pr  0.522  0.022  0.044
Pr  0.978  0.478  0.956
Sn  0.000  0.000  0.000
In  0.114  0.870  0.740
In  0.417  0.417  0.835
Sn  0.250  0.750  0.500
In  0.130  0.886  0.260
In  0.583  0.583  0.165